Below is AlIn5Rh6 after structural relaxation, with properties calculated at the GGA-PBE level.

Properties
Formation energy from the elements in eV/atom: -0.502
Energy in eV/atom: -5.631
Total magnetic moment in μB/atom: 0.000

POSCAR file:
```
AlIn5Rh6
1.0
4.206 -0.025 1.404
0.036 6.671 0.012
0.000 -0.013 7.021
Rh In Al
6 5 1
Cartesian
2.131 5.066 7.732
3.535 1.597 3.451
0.689 1.609 4.980
3.553 5.024 3.457
0.708 5.037 4.986
2.112 1.568 0.705
2.823 3.310 5.620
2.804 -0.025 5.617
0.018 3.336 0.006
1.402 -0.013 2.808
1.419 3.323 2.817
0.000 0.000 0.000
```